This record from Alexandria via LeMat-Bulk describes a relaxed structure of NaV4Cu3O12. The functional is PBE+U.

Unit cell a=7.3369 b=7.3369 c=7.3369 alpha=90.00 beta=90.00 gamma=90.00
Space group Im-3 (No. 204)
One atom of each set of equivalent atoms:
Na1 0.0000 0.0000 0.0000
V1 0.2500 0.2500 0.2500
Cu1 0.0000 0.0000 0.5000
O1 0.0000 0.1837 0.3041

For the total magnetic moment, the calculation gives 2.53 Bohr magnetons per cell. The calculated total energy is -6.64 eV per atom.